(1)
VASP calculation (PBE) on an optimized crystal structure of MnTlRe.

Unit cell a=6.182 b=6.182 c=6.182 alpha=152.75 beta=152.75 gamma=38.92
Fractional positions:
1 Mn 0.977 0.977 0.000
2 Re 0.361 0.361 0.000
3 Tl 0.661 0.661 0.000

Summary:
M_tot = 0.3 μB per cell

(2)
VASP calculation (PBE) on an optimized crystal structure of MnTlRe.

Unit cell a=7.282 b=7.044 c=2.899 alpha=82.97 beta=73.76 gamma=23.27
Fractional positions:
1 Mn 0.986 0.986 0.014
2 Re 0.350 0.350 0.650
3 Tl 0.664 0.664 0.336

Summary:
M_tot = 2.8 μB per cell

The most stable arrangement is (1), and the next structure is 0.116 eV/atom less stable.

(1)
VASP calculation (PBE) on an optimized crystal structure of MnTlRe.

Unit cell a=4.238 b=4.238 c=4.238 alpha=60.00 beta=60.00 gamma=60.00
Fractional positions:
1 Mn 0.250 0.250 0.250
2 Re 0.000 0.000 0.000
3 Tl 0.500 0.500 0.500

Summary:
M_tot = 1.0 μB per cell

(2)
VASP calculation (PBE) on an optimized crystal structure of MnTlRe.

Unit cell a=2.980 b=2.980 c=6.767 alpha=90.00 beta=90.00 gamma=120.00
Fractional positions:
1 Mn 0.000 0.000 0.029
2 Re 0.667 0.333 0.298
3 Tl 0.333 0.667 0.672

Summary:
M_tot = 2.6 μB per cell

The most stable arrangement is (2), and the next structure is 0.228 eV/atom less stable.